This record from the Alexandria database describes a relaxed NpPa3Tl4O12 crystal. The functional is GGA-PBE.

Computed properties:
E_form (uncorrected) (eV/atom): -2.629
Symmetry: Im-3m
Calculated total energy (eV for the cell shown): -163.0

Unit cell a=7.5986 b=7.5986 c=7.5986 alpha=109.47 beta=109.47 gamma=109.47
Atoms (fractional coordinates):
Np 0.0000 0.0000 0.0000
Pa 0.5000 0.0000 0.5000
Pa 0.5000 0.5000 0.0000
Pa 0.0000 0.5000 0.5000
Tl 0.5000 0.5000 0.5000
Tl 0.0000 0.0000 0.5000
Tl 0.5000 0.0000 0.0000
Tl 0.0000 0.5000 0.0000
O 0.2500 0.5000 0.7500
O 0.7524 0.0000 0.7524
O 0.2476 0.0000 0.2476
O 0.7500 0.5000 0.2500
O 0.7524 0.7524 0.0000
O 0.2476 0.2476 0.0000
O 0.7500 0.2500 0.5000
O 0.2500 0.7500 0.5000
O 0.5000 0.2500 0.7500
O 0.0000 0.7524 0.7524
O 0.5000 0.7500 0.2500
O 0.0000 0.2476 0.2476


This record from the Alexandria database describes a relaxed Ce6C3SeS2 crystal. The functional is GGA-PBE.

Computed properties:
E_form (uncorrected) (eV/atom): -1.076
Symmetry: C2/m
Calculated total energy (eV for the cell shown): -87.9

Unit cell a=3.8261 b=7.8896 c=8.7671 alpha=105.31 beta=102.60 gamma=90.00
Atoms (fractional coordinates):
Ce 0.3233 0.9335 0.6466
Ce 0.6601 0.6012 0.3203
Ce 0.6767 0.0665 0.3534
Ce 0.9923 0.2761 0.9846
Ce 0.0077 0.7239 0.0154
Ce 0.3399 0.3988 0.6797
C 0.5000 0.5000 0.0000
C 0.8323 0.1686 0.6647
C 0.1677 0.8314 0.3353
Se 0.5000 0.0000 0.0000
S 0.8336 0.6670 0.6671
S 0.1664 0.3330 0.3329


This record from the Alexandria database describes a relaxed Mg2ScMn crystal. The functional is GGA-PBE.

Computed properties:
Relative energy among the computed polymorphs (kJ/mol of atoms): 0.0
Symmetry: Pmm2
Calculated total energy (eV for the cell shown): -18.5

Unit cell a=3.1655 b=3.1241 c=8.7683 alpha=69.07 beta=90.00 gamma=90.00
Atoms (fractional coordinates):
Sc 0.5000 0.7884 0.7112
Mg 0.0000 0.9929 0.0069
Mg 0.5000 0.2186 0.2817
Mn 0.0000 0.5001 0.5002